w) Cu3BPd: optimized geometry, PBE.

Properties
- Space-group type: Pm-3m, No. 221

Cell lengths 3.941, 3.941, 3.941 Å; angles 90.00, 90.00, 90.00 degrees
Sites, in units of the cell vectors:
Cu  0.000  0.000  0.500
Cu  0.000  0.500  0.000
Cu  0.500  0.000  0.000
B  0.000  0.000  0.000
Pd  0.500  0.500  0.500


x) Cu3BPd: optimized geometry, PBE.

Properties
- Space-group type: Pm-3m, No. 221

Cell lengths 4.659, 4.659, 4.659 Å; angles 90.00, 90.00, 90.00 degrees
Sites, in units of the cell vectors:
Cu  0.000  0.000  0.500
Cu  0.000  0.500  0.000
Cu  0.500  0.000  0.000
B  0.500  0.500  0.500
Pd  0.000  0.000  0.000


Which is most stable, and by how much? w), by 150.4 kJ/mol of atoms.


w) CuBPd3: optimized geometry, PBE.

Properties
- Space-group type: C2/c, No. 15

Cell lengths 5.584, 5.584, 9.923 Å; angles 96.95, 96.95, 60.61 degrees
Sites, in units of the cell vectors:
Cu  0.077  0.770  0.858
Cu  0.230  0.923  0.642
Cu  0.770  0.077  0.358
Cu  0.923  0.230  0.142
B  0.000  0.500  0.500
B  0.142  0.858  0.250
B  0.500  0.000  0.000
B  0.858  0.142  0.750
Pd  0.109  0.253  0.895
Pd  0.253  0.109  0.395
Pd  0.256  0.611  0.413
Pd  0.280  0.389  0.665
Pd  0.389  0.280  0.165
Pd  0.389  0.744  0.087
Pd  0.611  0.256  0.913
Pd  0.611  0.720  0.835
Pd  0.720  0.611  0.335
Pd  0.744  0.389  0.587
Pd  0.747  0.891  0.605
Pd  0.891  0.747  0.105


x) CuBPd3: optimized geometry, PBE.

Properties
- Space-group type: Pm-3m, No. 221

Cell lengths 4.560, 4.560, 4.560 Å; angles 90.00, 90.00, 90.00 degrees
Sites, in units of the cell vectors:
Cu  0.000  0.000  0.000
B  0.500  0.500  0.500
Pd  0.000  0.000  0.500
Pd  0.000  0.500  0.000
Pd  0.500  0.000  0.000


y) CuBPd3: optimized geometry, PBE.

Properties
- Space-group type: Pm-3m, No. 221

Cell lengths 4.132, 4.132, 4.132 Å; angles 90.00, 90.00, 90.00 degrees
Sites, in units of the cell vectors:
Cu  0.000  0.000  0.000
B  0.500  0.500  0.500
Pd  0.000  0.500  0.500
Pd  0.500  0.000  0.500
Pd  0.500  0.500  0.000


z) CuBPd3: optimized geometry, PBE.

Properties
- Space-group type: Cmmm, No. 65

Cell lengths 6.943, 6.943, 3.019 Å; angles 90.00, 90.00, 109.20 degrees
Sites, in units of the cell vectors:
Cu  0.000  0.000  0.000
Cu  0.500  0.500  0.500
B  0.000  0.500  0.000
B  0.500  0.000  0.000
Pd  0.084  0.331  0.500
Pd  0.309  0.691  0.000
Pd  0.331  0.084  0.500
Pd  0.669  0.916  0.500
Pd  0.691  0.309  0.000
Pd  0.916  0.669  0.500


Which is most stable, and by how much? w), by 1.6 kJ/mol of atoms.


w) Cu2BPd8: optimized geometry, PBE.

Properties
- Space-group type: C2/m, No. 12

Cell lengths 7.631, 7.631, 5.650 Å; angles 95.01, 95.01, 28.70 degrees
Sites, in units of the cell vectors:
Cu  0.187  0.187  0.299
Cu  0.813  0.813  0.701
B  0.500  0.500  0.500
Pd  0.005  0.005  0.739
Pd  0.211  0.211  0.840
Pd  0.367  0.367  0.457
Pd  0.402  0.402  0.963
Pd  0.598  0.598  0.037
Pd  0.633  0.633  0.543
Pd  0.789  0.789  0.160
Pd  0.995  0.995  0.261


x) Cu2BPd8: optimized geometry, PBE.

Properties
- Space-group type: C2/m, No. 12

Cell lengths 6.723, 6.723, 4.589 Å; angles 108.99, 108.99, 66.72 degrees
Sites, in units of the cell vectors:
Cu  0.165  0.165  0.421
Cu  0.835  0.835  0.579
B  0.000  0.000  0.000
Pd  0.118  0.731  0.191
Pd  0.269  0.882  0.809
Pd  0.294  0.294  0.044
Pd  0.427  0.427  0.677
Pd  0.573  0.573  0.323
Pd  0.706  0.706  0.956
Pd  0.731  0.118  0.191
Pd  0.882  0.269  0.809


Which is most stable, and by how much? w), by 17.8 kJ/mol of atoms.


w) Cu2BPd2: optimized geometry, PBE.

Properties
- Space-group type: P4/mbm, No. 127

Cell lengths 5.575, 5.575, 4.310 Å; angles 90.00, 90.00, 90.00 degrees
Sites, in units of the cell vectors:
Cu  0.156  0.344  0.000
Cu  0.344  0.844  0.000
Cu  0.656  0.156  0.000
Cu  0.844  0.656  0.000
B  0.000  0.000  0.500
B  0.500  0.500  0.500
Pd  0.166  0.666  0.500
Pd  0.334  0.166  0.500
Pd  0.666  0.834  0.500
Pd  0.834  0.334  0.500


x) Cu2BPd2: optimized geometry, PBE.

Properties
- Space-group type: P4/mbm, No. 127

Cell lengths 5.454, 5.454, 4.266 Å; angles 90.00, 90.00, 90.00 degrees
Sites, in units of the cell vectors:
Cu  0.155  0.345  0.000
Cu  0.345  0.845  0.000
Cu  0.655  0.155  0.000
Cu  0.845  0.655  0.000
B  0.000  0.000  0.000
B  0.500  0.500  0.000
Pd  0.176  0.676  0.500
Pd  0.324  0.176  0.500
Pd  0.676  0.824  0.500
Pd  0.824  0.324  0.500


Which is most stable, and by how much? w), by 23.5 kJ/mol of atoms.


w) CuBPd4: optimized geometry, PBE.

Properties
- Space-group type: C2/m, No. 12

Cell lengths 7.201, 7.201, 4.779 Å; angles 109.27, 109.27, 45.42 degrees
Sites, in units of the cell vectors:
Cu  0.192  0.192  0.192
Cu  0.808  0.808  0.808
B  0.500  0.500  0.313
B  0.500  0.500  0.687
Pd  0.129  0.632  0.381
Pd  0.237  0.763  0.000
Pd  0.310  0.310  0.810
Pd  0.368  0.871  0.619
Pd  0.632  0.129  0.381
Pd  0.690  0.690  0.190
Pd  0.763  0.237  0.000
Pd  0.871  0.368  0.619


x) CuBPd4: optimized geometry, PBE.

Properties
- Space-group type: C2/c, No. 15

Cell lengths 6.679, 6.679, 5.586 Å; angles 110.37, 110.37, 113.70 degrees
Sites, in units of the cell vectors:
Cu  0.132  0.868  0.750
Cu  0.868  0.132  0.250
B  0.419  0.581  0.250
B  0.581  0.419  0.750
Pd  0.118  0.559  0.305
Pd  0.234  0.295  0.777
Pd  0.295  0.234  0.277
Pd  0.441  0.882  0.195
Pd  0.559  0.118  0.805
Pd  0.705  0.766  0.723
Pd  0.766  0.705  0.223
Pd  0.882  0.441  0.695


Which is most stable, and by how much? w), by 7.8 kJ/mol of atoms.